Material: MnZn2AgSe4
Method: DFT, GGA-PBE
State: relaxed

The structure in POSCAR format:
```
MnZn2AgSe4
1.0
5.714 0.238 0.000
-0.237 5.714 0.000
-2.739 -2.976 5.962
Zn Se Ag Mn
2 4 1 1
Cartesian
-0.119 2.857 2.981
2.857 0.119 2.981
4.145 1.681 1.547
1.294 1.406 4.415
-1.295 -1.407 4.415
1.332 4.270 1.547
0.000 0.000 0.001
2.738 2.976 0.000
```

Values from the calculation:
* DFT total energy: -4.0226 eV per atom
* symmetry: I-42m, No. 121
* M_tot: 4.000 μB per cell